{
  "formula": "PmMn2SbO6",
  "functional": "PBE with a Hubbard U",
  "state": "optimized geometry",
  "cell": [[2.8133, 1.6243, 4.5382], [-2.8133, 1.6243, 4.5382], [0.0000, -3.2485, 4.5382]],
  "species": ["Pm", "Mn", "Mn", "Sb", "O", "O", "O", "O", "O", "O"],
  "fractional_positions": [[0.0000, 0.0000, 0.0000], [0.2319, 0.2319, 0.2319], [0.7365, 0.7365, 0.7365], [0.5197, 0.5197, 0.5197], [0.0536, 0.4733, 0.8998], [0.3975, 0.9321, 0.5757], [0.4733, 0.8998, 0.0536], [0.5757, 0.3975, 0.9321], [0.8998, 0.0536, 0.4733], [0.9321, 0.5757, 0.3975]],
  "energy_ev_per_cell": -72.8,
  "space_group": "R3"
}